{"formula": "Ac2MnPtO6", "functional": "PBE+U", "state": "relaxed", "cell": [[5.764, 0.000, 0.000], [0.000, 5.764, 0.000], [0.000, 0.000, 4.086]], "species": ["Ac", "Ac", "Mn", "Pt", "O", "O", "O", "O", "O", "O"], "frac_coords": [[0.000, 0.500, 0.000], [0.500, 0.000, 0.000], [0.000, 0.000, 0.502], [0.500, 0.500, 0.503], [0.000, 0.000, 0.003], [0.252, 0.252, 0.504], [0.252, 0.748, 0.504], [0.500, 0.500, 0.003], [0.748, 0.252, 0.504], [0.748, 0.748, 0.504]], "energy_ev_per_cell": -73.15}